The following is a DFT calculation (PBE) of a relaxed structure of Zr3Sc2Al3.

Output
Distance to the lowest polymorph of the same formula = 0.0000 eV per atom
Total moment = 0.63 μB per formula unit

```
Zr3Sc2Al3
1.0
5.952 0.000 0.000
0.000 4.902 0.000
-2.148 0.000 5.605
Zr Sc Al
3 2 3
Cartesian
0.000 0.000 0.000
-0.153 2.451 3.953
2.933 2.451 4.066
1.699 0.000 2.660
3.972 2.451 1.227
1.021 2.451 1.165
0.890 0.000 5.462
4.573 0.000 2.800
```